Material: K2AlRe
Method: DFT, meta-GGA SCAN
State: PBEsol geometry

V   85 Å³/cell
Total moment   0.23 μB/f.u.
N(E_F)   1.843 states/eV per cell
Symmetry   P4/mmm
Formation energy   1.193 eV/atom
E   -22.683 eV/atom

Lattice parameters (Å, degrees): 3.856 3.856 5.722 90.00 90.00 90.00
Element x y z (fractional)
K (0.000, 0.500, 0.000)
K (0.500, 0.000, 0.000)
Al (0.000, 0.000, 0.500)
Re (0.500, 0.500, 0.500)

***

Material: CaOsO3
Method: DFT, meta-GGA SCAN
State: PBEsol geometry

Energy relative to the elements, uncorrected   -924.1 kJ/mol of formula units
V   227 Å³/cell
Total moment   1.86 μB/f.u.
N(E_F)   9.185 states/eV per cell
Symmetry   Pnma
E   -21.963 eV/atom

Lattice parameters (Å, degrees): 5.602 7.658 5.281 90.00 90.00 90.00
Element x y z (fractional)
Ca (0.062, 0.250, 0.019)
Ca (0.438, 0.750, 0.519)
Ca (0.562, 0.250, 0.481)
Ca (0.938, 0.750, 0.981)
Os (0.000, 0.000, 0.500)
Os (0.000, 0.500, 0.500)
Os (0.500, 0.000, 0.000)
Os (0.500, 0.500, 0.000)
O (0.035, 0.750, 0.396)
O (0.201, 0.551, 0.806)
O (0.201, 0.949, 0.806)
O (0.299, 0.051, 0.306)
O (0.299, 0.449, 0.306)
O (0.465, 0.250, 0.896)
O (0.535, 0.750, 0.104)
O (0.701, 0.551, 0.694)
O (0.701, 0.949, 0.694)
O (0.799, 0.051, 0.194)
O (0.799, 0.449, 0.194)
O (0.965, 0.250, 0.604)